Entry from Alexandria via LeMat-Bulk: a relaxed TiSbHRu2 crystal (PBE).

It has space group P4/mmm (No. 123), with a = 4.132 Å, b = 4.132 Å, c = 3.837 Å, α = 90.00°, β = 90.00° and γ = 90.00°. Symmetry generates all atoms from Ti at (0.000, 0.000, 0.000), Sb at (0.500, 0.500, 0.000), H at (0.000, 0.000, 0.500) and Ru at (0.000, 0.500, 0.500).

Its energy relative to the lowest polymorph listed for this composition is 0 meV/atom. For the theoretical density, the calculation gives 9.5 g/cm3.